Computed, not measured: an optimized crystal structure of CdPt2Rh at the PBEsol level of DFT.

a = 3.899 Å, b = 3.899 Å, c = 4.034 Å
α = 90.00°, β = 90.00°, γ = 90.00°
Space group P4/mmm (No. 123)
Asymmetric unit:
Cd 0.000 0.000 0.000
Pt 0.000 0.500 0.500
Rh 0.500 0.500 0.000

Density in g/cm3: 16.40
Final energy in eV/cell: -23.63
E_form in eV/atom: -0.09